1.
VS2: optimized geometry, PBE.

abc: 3.186 3.186 6.809
angles: 104.11 104.11 60.04
Atoms (fractional coordinates):
1 V 0.000 0.000 0.000
2 S 0.255 0.255 0.775
3 S 0.745 0.745 0.225

**VASP energy**: -6.647 eV/atom
**Calculated volume**: 57 Å³/cell

***

2.
V3S5: optimized geometry, PBE.

abc: 5.654 6.771 7.937
angles: 109.05 109.42 90.61
Atoms (fractional coordinates):
1 V 0.000 0.000 0.000
2 V 0.110 0.685 0.190
3 V 0.339 0.138 0.629
4 V 0.500 0.500 0.000
5 V 0.661 0.862 0.371
6 V 0.890 0.315 0.810
7 S 0.006 0.969 0.690
8 S 0.185 0.450 0.698
9 S 0.218 0.346 0.106
10 S 0.381 0.844 0.084
11 S 0.407 0.760 0.503
12 S 0.593 0.240 0.497
13 S 0.619 0.156 0.916
14 S 0.782 0.654 0.894
15 S 0.815 0.550 0.302
16 S 0.994 0.031 0.310

**VASP energy**: -6.914 eV/atom
**Calculated volume**: 268 Å³/cell

***

3.
V5S7: optimized geometry, PBE.

abc: 5.802 5.802 11.655
angles: 105.04 105.04 32.14
Atoms (fractional coordinates):
1 V 0.000 0.000 0.000
2 V 0.139 0.139 0.452
3 V 0.331 0.331 0.106
4 V 0.669 0.669 0.894
5 V 0.861 0.861 0.548
6 S 0.031 0.031 0.797
7 S 0.267 0.267 0.639
8 S 0.339 0.339 0.913
9 S 0.500 0.500 0.500
10 S 0.661 0.661 0.087
11 S 0.733 0.733 0.361
12 S 0.969 0.969 0.203

**VASP energy**: -6.986 eV/atom
**Calculated volume**: 201 Å³/cell

***

4.
VS4: optimized geometry, PBE.

abc: 8.791 8.791 7.456
angles: 111.63 111.63 79.00
Atoms (fractional coordinates):
1 V 0.116 0.616 0.616
2 V 0.384 0.884 0.884
3 V 0.616 0.116 0.116
4 V 0.884 0.384 0.384
5 S 0.067 0.458 0.264
6 S 0.159 0.839 0.962
7 S 0.161 0.841 0.538
8 S 0.174 0.330 0.462
9 S 0.319 0.639 0.942
10 S 0.330 0.174 0.962
11 S 0.361 0.681 0.558
12 S 0.458 0.067 0.764
13 S 0.542 0.933 0.236
14 S 0.639 0.319 0.442
15 S 0.670 0.826 0.038
16 S 0.681 0.361 0.058
17 S 0.826 0.670 0.538
18 S 0.839 0.159 0.462
19 S 0.841 0.161 0.038
20 S 0.933 0.542 0.736

**VASP energy**: -5.678 eV/atom
**Calculated volume**: 497 Å³/cell

***

5.
V3S: optimized geometry, PBE.

abc: 2.866 3.020 6.554
angles: 90.00 90.00 90.00
Atoms (fractional coordinates):
1 V 0.000 0.000 0.000
2 V 0.000 0.500 0.319
3 V 0.500 0.500 0.749
4 S 0.500 0.000 0.475

**VASP energy**: -7.900 eV/atom
**Calculated volume**: 57 Å³/cell

***

6.
VS: optimized geometry, PBE.

abc: 5.841 3.202 5.796
angles: 90.00 90.00 90.00
Atoms (fractional coordinates):
1 V 0.011 0.250 0.196
2 V 0.489 0.750 0.696
3 V 0.511 0.250 0.304
4 V 0.989 0.750 0.804
5 S 0.218 0.250 0.576
6 S 0.282 0.750 0.076
7 S 0.718 0.250 0.924
8 S 0.782 0.750 0.424

**VASP energy**: -7.521 eV/atom
**Calculated volume**: 108 Å³/cell

***

7.
V2S3: optimized geometry, PBE.

abc: 6.017 3.189 8.347
angles: 90.00 103.49 90.00
Atoms (fractional coordinates):
1 V 0.119 0.250 0.141
2 V 0.310 0.250 0.506
3 V 0.690 0.750 0.494
4 V 0.881 0.750 0.859
5 S 0.033 0.750 0.346
6 S 0.256 0.750 0.987
7 S 0.484 0.750 0.693
8 S 0.516 0.250 0.307
9 S 0.744 0.250 0.013
10 S 0.967 0.250 0.654

**VASP energy**: -7.091 eV/atom
**Calculated volume**: 156 Å³/cell

***

8.
V3S: optimized geometry, PBE.

abc: 7.052 7.052 7.052
angles: 95.97 95.97 142.36
Atoms (fractional coordinates):
1 V 0.000 0.357 0.357
2 V 0.000 0.643 0.643
3 V 0.062 0.062 0.601
4 V 0.147 0.330 0.000
5 V 0.330 0.147 0.000
6 V 0.357 0.000 0.357
7 V 0.462 0.462 0.399
8 V 0.538 0.938 0.000
9 V 0.643 0.000 0.643
10 V 0.670 0.670 0.817
11 V 0.853 0.853 0.183
12 V 0.938 0.538 0.000
13 S 0.211 0.500 0.711
14 S 0.500 0.211 0.711
15 S 0.500 0.789 0.289
16 S 0.789 0.500 0.289

**VASP energy**: -8.415 eV/atom
**Calculated volume**: 203 Å³/cell